8
Lattice="4.1491 0.0000 0.0000 0.0000 4.1491 0.0000 0.0000 0.0000 9.2985" Properties=species:S:1:pos:R:3 comment="AcCoAsO (PBE with a Hubbard U, relaxed)" polymorph_energy_kj_per_mol_atoms=0.00 rho_g_cm3=7.819 crystal_system=tetragonal pbc="T T T"
Ac 1.0373 1.0373 1.3083
Ac 3.1118 3.1118 7.9902
Co 1.0373 3.1118 4.6493
Co 3.1118 1.0373 4.6493
As 1.0373 1.0373 6.1052
As 3.1118 3.1118 3.1933
O 1.0373 3.1118 0.0000
O 3.1118 1.0373 0.0000